Entry from OQMD: SmZr3 after structural relaxation (PBE-GGA).

Summary:
E_tot = -7.489 eV per atom
Formation energy = 0.10 eV per atom
Energy relative to the lowest polymorph listed for this composition = 4 meV per atom

Cell: 6.6386 11.4503 5.3016 Å, 90.00 90.00 90.00°
Atoms (fractional coordinates):
Sm1 0.0000 0.0866 0.2500
Sm2 0.0000 0.9134 0.7500
Sm3 0.5000 0.4134 0.7500
Sm4 0.5000 0.5866 0.2500
Zr1 0.0000 0.4174 0.7500
Zr2 0.0000 0.5826 0.2500
Zr3 0.2405 0.3306 0.2500
Zr4 0.2405 0.6694 0.7500
Zr5 0.2595 0.1694 0.7500
Zr6 0.2595 0.8306 0.2500
Zr7 0.5000 0.0826 0.2500
Zr8 0.5000 0.9174 0.7500
Zr9 0.7405 0.1694 0.7500
Zr10 0.7405 0.8306 0.2500
Zr11 0.7595 0.3306 0.2500
Zr12 0.7595 0.6694 0.7500

---

Entry from OQMD: SmZr3 after structural relaxation (PBE-GGA).

Summary:
E_tot = -7.493 eV per atom
Formation energy = 0.10 eV per atom
Energy relative to the lowest polymorph listed for this composition = 0 meV per atom

Cell: 6.6689 6.6689 5.2756 Å, 90.00 90.00 120.00°
Atoms (fractional coordinates):
Sm1 0.3333 0.6667 0.2500
Sm2 0.6667 0.3333 0.7500
Zr1 0.1591 0.3182 0.7500
Zr2 0.1591 0.8409 0.7500
Zr3 0.3182 0.1591 0.2500
Zr4 0.6818 0.8409 0.7500
Zr5 0.8409 0.1591 0.2500
Zr6 0.8409 0.6818 0.2500

---

Entry from OQMD: SrTaSn after structural relaxation (PBE-GGA).

Summary:
E_tot = -5.155 eV per atom
Energy relative to the lowest polymorph listed for this composition = 0 meV per atom

Cell: 7.1605 7.1605 7.1605 Å, 90.00 90.00 90.00°
Atoms (fractional coordinates):
Sr1 0.0000 0.0000 0.0000
Sr2 0.0000 0.5000 0.5000
Sr3 0.5000 0.0000 0.5000
Sr4 0.5000 0.5000 0.0000
Ta1 0.0000 0.0000 0.5000
Ta2 0.0000 0.5000 0.0000
Ta3 0.5000 0.0000 0.0000
Ta4 0.5000 0.5000 0.5000
Sn1 0.2500 0.2500 0.2500
Sn2 0.2500 0.7500 0.7500
Sn3 0.7500 0.2500 0.7500
Sn4 0.7500 0.7500 0.2500

---

Entry from OQMD: SrTaSn after structural relaxation (PBE-GGA).

Summary:
E_tot = -4.393 eV per atom
Energy relative to the lowest polymorph listed for this composition = 763 meV per atom

Cell: 7.3416 7.3416 7.3416 Å, 90.00 90.00 90.00°
Atoms (fractional coordinates):
Sr1 0.0000 0.0000 0.0000
Sr2 0.0000 0.5000 0.5000
Sr3 0.5000 0.0000 0.5000
Sr4 0.5000 0.5000 0.0000
Ta1 0.2500 0.2500 0.2500
Ta2 0.2500 0.7500 0.7500
Ta3 0.7500 0.2500 0.7500
Ta4 0.7500 0.7500 0.2500
Sn1 0.2500 0.2500 0.7500
Sn2 0.2500 0.7500 0.2500
Sn3 0.7500 0.2500 0.2500
Sn4 0.7500 0.7500 0.7500

---

Entry from OQMD: SrTbSn2 after structural relaxation (PBE-GGA).

Summary:
E_tot = -3.524 eV per atom

Cell: 3.4668 6.3991 12.8502 Å, 90.00 90.00 90.00°
Atoms (fractional coordinates):
Sr1 0.0000 0.0000 0.0000
Sr2 0.0000 0.5000 0.5000
Tb1 0.0000 0.0000 0.2892
Tb2 0.0000 0.5000 0.7892
Sn1 0.0000 0.0000 0.5231
Sn2 0.0000 0.0000 0.7447
Sn3 0.0000 0.5000 0.0231
Sn4 0.0000 0.5000 0.2447

---

Entry from OQMD: SrTcSn after structural relaxation (PBE-GGA).

Summary:
E_tot = -4.033 eV per atom
Energy relative to the lowest polymorph listed for this composition = 836 meV per atom

Cell: 7.2825 7.2825 7.2825 Å, 90.00 90.00 90.00°
Atoms (fractional coordinates):
Sr1 0.0000 0.0000 0.0000
Sr2 0.0000 0.5000 0.5000
Sr3 0.5000 0.0000 0.5000
Sr4 0.5000 0.5000 0.0000
Tc1 0.2500 0.2500 0.2500
Tc2 0.2500 0.7500 0.7500
Tc3 0.7500 0.2500 0.7500
Tc4 0.7500 0.7500 0.2500
Sn1 0.2500 0.2500 0.7500
Sn2 0.2500 0.7500 0.2500
Sn3 0.7500 0.2500 0.2500
Sn4 0.7500 0.7500 0.7500

---

Entry from OQMD: SrTcSn after structural relaxation (PBE-GGA).

Summary:
E_tot = -4.870 eV per atom
Energy relative to the lowest polymorph listed for this composition = 0 meV per atom

Cell: 6.7827 6.7827 6.7827 Å, 90.00 90.00 90.00°
Atoms (fractional coordinates):
Sr1 0.0000 0.0000 0.0000
Sr2 0.0000 0.5000 0.5000
Sr3 0.5000 0.0000 0.5000
Sr4 0.5000 0.5000 0.0000
Tc1 0.2500 0.2500 0.7500
Tc2 0.2500 0.7500 0.2500
Tc3 0.7500 0.2500 0.2500
Tc4 0.7500 0.7500 0.7500
Sn1 0.0000 0.0000 0.5000
Sn2 0.0000 0.5000 0.0000
Sn3 0.5000 0.0000 0.0000
Sn4 0.5000 0.5000 0.5000

---

Entry from OQMD: SrThSn after structural relaxation (PBE-GGA).

Summary:
E_tot = -3.897 eV per atom

Cell: 7.7559 7.7559 7.7559 Å, 90.00 90.00 90.00°
Atoms (fractional coordinates):
Sr1 0.0000 0.0000 0.0000
Sr2 0.0000 0.5000 0.5000
Sr3 0.5000 0.0000 0.5000
Sr4 0.5000 0.5000 0.0000
Th1 0.2500 0.2500 0.2500
Th2 0.2500 0.7500 0.7500
Th3 0.7500 0.2500 0.7500
Th4 0.7500 0.7500 0.2500
Sn1 0.0000 0.0000 0.5000
Sn2 0.0000 0.5000 0.0000
Sn3 0.5000 0.0000 0.0000
Sn4 0.5000 0.5000 0.5000

---

Entry from OQMD: SrTmSn2 after structural relaxation (PBE-GGA).

Summary:
E_tot = -3.456 eV per atom

Cell: 3.4461 6.3560 12.8072 Å, 90.00 90.00 90.00°
Atoms (fractional coordinates):
Sr1 0.0000 0.0000 0.0000
Sr2 0.0000 0.5000 0.5000
Tm1 0.0000 0.0000 0.7098
Tm2 0.0000 0.5000 0.2098
Sn1 0.0000 0.0000 0.2560
Sn2 0.0000 0.0000 0.4784
Sn3 0.0000 0.5000 0.7560
Sn4 0.0000 0.5000 0.9784

---

Entry from OQMD: SrUSn after structural relaxation (PBE-GGA).

Summary:
E_tot = -5.214 eV per atom

Cell: 7.6548 7.6548 7.6548 Å, 90.00 90.00 90.00°
Atoms (fractional coordinates):
Sr1 0.0000 0.0000 0.0000
Sr2 0.0000 0.5000 0.5000
Sr3 0.5000 0.0000 0.5000
Sr4 0.5000 0.5000 0.0000
U1 0.0000 0.0000 0.5000
U2 0.0000 0.5000 0.0000
U3 0.5000 0.0000 0.0000
U4 0.5000 0.5000 0.5000
Sn1 0.2500 0.2500 0.2500
Sn2 0.2500 0.7500 0.7500
Sn3 0.7500 0.2500 0.7500
Sn4 0.7500 0.7500 0.2500

---

Entry from OQMD: Sr2ZnSn after structural relaxation (PBE-GGA).

Summary:
E_tot = -2.247 eV per atom

Cell: 7.9449 7.9449 7.9449 Å, 90.00 90.00 90.00°
Atoms (fractional coordinates):
Sr1 0.0000 0.0000 0.0000
Sr2 0.0000 0.5000 0.5000
Sr3 0.2500 0.2500 0.2500
Sr4 0.2500 0.7500 0.7500
Sr5 0.5000 0.0000 0.5000
Sr6 0.5000 0.5000 0.0000
Sr7 0.7500 0.2500 0.7500
Sr8 0.7500 0.7500 0.2500
Zn1 0.2500 0.2500 0.7500
Zn2 0.2500 0.7500 0.2500
Zn3 0.7500 0.2500 0.2500
Zn4 0.7500 0.7500 0.7500
Sn1 0.0000 0.0000 0.5000
Sn2 0.0000 0.5000 0.0000
Sn3 0.5000 0.0000 0.0000
Sn4 0.5000 0.5000 0.5000

---

Entry from OQMD: SrZn2Sn2 after structural relaxation (PBE-GGA).

Summary:
E_tot = -2.803 eV per atom

Cell: 4.6824 4.6441 11.4073 Å, 90.00 90.63 90.00°
Atoms (fractional coordinates):
Sr1 0.2414 0.2500 0.2445
Sr2 0.7586 0.7500 0.7555
Zn1 0.2279 0.7500 0.0008
Zn2 0.2440 0.2500 0.6386
Zn3 0.7560 0.7500 0.3614
Zn4 0.7721 0.2500 0.9992
Sn1 0.2554 0.7500 0.4996
Sn2 0.2733 0.2500 0.8692
Sn3 0.7267 0.7500 0.1308
Sn4 0.7446 0.2500 0.5004

---

Entry from OQMD: SrZrSn2 after structural relaxation (PBE-GGA).

Summary:
E_tot = -4.369 eV per atom

Cell: 7.6017 7.6017 7.6017 Å, 90.00 90.00 90.00°
Atoms (fractional coordinates):
Sr1 0.0000 0.0000 0.0000
Sr2 0.0000 0.5000 0.5000
Sr3 0.5000 0.0000 0.5000
Sr4 0.5000 0.5000 0.0000
Zr1 0.2500 0.2500 0.2500
Zr2 0.2500 0.7500 0.7500
Zr3 0.7500 0.2500 0.7500
Zr4 0.7500 0.7500 0.2500
Sn1 0.0000 0.0000 0.5000
Sn2 0.0000 0.5000 0.0000
Sn3 0.2500 0.2500 0.7500
Sn4 0.2500 0.7500 0.2500
Sn5 0.5000 0.0000 0.0000
Sn6 0.5000 0.5000 0.5000
Sn7 0.7500 0.2500 0.2500
Sn8 0.7500 0.7500 0.7500

---

Entry from OQMD: SrZrSn after structural relaxation (PBE-GGA).

Summary:
E_tot = -3.899 eV per atom

Cell: 7.4495 7.4495 7.4495 Å, 90.00 90.00 90.00°
Atoms (fractional coordinates):
Sr1 0.0000 0.0000 0.0000
Sr2 0.0000 0.5000 0.5000
Sr3 0.5000 0.0000 0.5000
Sr4 0.5000 0.5000 0.0000
Zr1 0.2500 0.2500 0.2500
Zr2 0.2500 0.7500 0.7500
Zr3 0.7500 0.2500 0.7500
Zr4 0.7500 0.7500 0.2500
Sn1 0.2500 0.2500 0.7500
Sn2 0.2500 0.7500 0.2500
Sn3 0.7500 0.2500 0.2500
Sn4 0.7500 0.7500 0.7500

---

Entry from OQMD: SrZrSn after structural relaxation (PBE-GGA).

Summary:
E_tot = -4.668 eV per atom

Cell: 7.3399 7.3399 7.3399 Å, 90.00 90.00 90.00°
Atoms (fractional coordinates):
Sr1 0.0000 0.0000 0.0000
Sr2 0.0000 0.5000 0.5000
Sr3 0.5000 0.0000 0.5000
Sr4 0.5000 0.5000 0.0000
Zr1 0.0000 0.0000 0.5000
Zr2 0.0000 0.5000 0.0000
Zr3 0.5000 0.0000 0.0000
Zr4 0.5000 0.5000 0.5000
Sn1 0.2500 0.2500 0.2500
Sn2 0.2500 0.7500 0.7500
Sn3 0.7500 0.2500 0.7500
Sn4 0.7500 0.7500 0.2500

---

Entry from OQMD: TaSn after structural relaxation (PBE-GGA).

Summary:
E_tot = -7.751 eV per atom

Cell: 3.1762 3.1762 4.5941 Å, 90.00 90.00 120.00°
Atoms (fractional coordinates):
Ta1 0.0000 0.0000 0.0000
Sn1 0.3333 0.6667 0.5000

---

Entry from OQMD: TaSn after structural relaxation (PBE-GGA).

Summary:
E_tot = -6.352 eV per atom

Cell: 6.3084 6.3084 6.3084 Å, 90.00 90.00 90.00°
Atoms (fractional coordinates):
Ta1 0.0000 0.0000 0.0000
Ta2 0.0000 0.5000 0.5000
Ta3 0.5000 0.0000 0.5000
Ta4 0.5000 0.5000 0.0000
Sn1 0.2500 0.2500 0.2500
Sn2 0.2500 0.7500 0.7500
Sn3 0.7500 0.2500 0.7500
Sn4 0.7500 0.7500 0.2500

---

Entry from OQMD: TaSn2 after structural relaxation (PBE-GGA).

Summary:
E_tot = -5.197 eV per atom

Cell: 8.7014 8.7014 8.7014 Å, 60.00 60.00 60.00°
Atoms (fractional coordinates):
Ta1 0.1250 0.1250 0.1250
Ta2 0.8750 0.8750 0.8750
Sn1 0.0000 0.0000 0.0000
Sn2 0.0000 0.0000 0.5000
Sn3 0.0000 0.5000 0.0000
Sn4 0.5000 0.0000 0.0000

---

Entry from OQMD: TaSn after structural relaxation (PBE-GGA).

Summary:
E_tot = -7.233 eV per atom

Cell: 5.6374 5.6374 5.6374 Å, 90.00 90.00 90.00°
Atoms (fractional coordinates):
Ta1 0.0000 0.0000 0.0000
Ta2 0.0000 0.5000 0.5000
Ta3 0.5000 0.0000 0.5000
Ta4 0.5000 0.5000 0.0000
Sn1 0.0000 0.0000 0.5000
Sn2 0.0000 0.5000 0.0000
Sn3 0.5000 0.0000 0.0000
Sn4 0.5000 0.5000 0.5000

---

Entry from OQMD: Ta3Sn after structural relaxation (PBE-GGA).

Summary:
E_tot = -9.930 eV per atom

Cell: 5.3103 5.3103 5.3271 Å, 90.00 90.00 90.00°
Atoms (fractional coordinates):
Ta1 0.0000 0.0000 0.2500
Ta2 0.0000 0.0000 0.7500
Ta3 0.2489 0.5000 0.0000
Ta4 0.5000 0.2489 0.5000
Ta5 0.5000 0.7511 0.5000
Ta6 0.7511 0.5000 0.0000
Sn1 0.0000 0.5000 0.5000
Sn2 0.5000 0.0000 0.0000